# K3VH6C4O13 PBE with a Hubbard U optimized geometry
# **Total DFT energy (no corrections)**: -6.285 eV/atom
# **Mass density**: 2.017 Mg/m³
# **Magnetization**: 0.0 μB per formula unit
# **Space-group type**: No. 2
data_K3VH6C4O13
_chemical_formula_sum 'K6 V2 H12 C8 O26'
_space_group_name_H-M_alt 'P 1'
_space_group_IT_number 1
_cell_length_a 7.9912
_cell_length_b 8.1455
_cell_length_c 11.6723
_cell_angle_alpha 89.54
_cell_angle_beta 94.82
_cell_angle_gamma 110.56
loop_
_space_group_symop_operation_xyz
'x,y,z'
loop_
_atom_site_label
_atom_site_fract_x
_atom_site_fract_y
_atom_site_fract_z
O1 0.7412 0.3496 0.7091
O2 0.1069 0.8558 0.9478
O3 0.2147 0.3994 0.9943
O4 0.8931 0.1442 0.0522
O5 0.4985 0.5165 0.7183
O6 0.7000 0.8920 0.3657
O7 0.6703 0.0171 0.6467
O8 0.2119 0.3306 0.4712
O9 0.4904 0.7377 0.9973
O10 0.1736 0.6820 0.6842
O11 0.9173 0.6247 0.1879
O12 0.0316 0.7043 0.4341
O13 0.9684 0.2957 0.5659
O14 0.3297 0.9829 0.3533
O15 0.2588 0.6504 0.2909
O16 0.3000 0.1080 0.6343
O17 0.7881 0.6694 0.5288
O18 0.8039 0.1053 0.8639
O19 0.0827 0.3753 0.8121
O20 0.5015 0.4835 0.2817
O21 0.1961 0.8947 0.1361
O22 0.5096 0.2623 0.0027
O23 0.9670 0.9293 0.2961
O24 0.8264 0.3180 0.3158
O25 0.0330 0.0707 0.7039
O26 0.7853 0.6006 0.0057
H1 0.4043 0.2977 0.0044
H2 0.6111 0.3752 0.0043
H3 0.8556 0.4282 0.2731
H4 0.3889 0.6248 0.9957
H5 0.5613 0.4306 0.7191
H6 0.9019 0.3483 0.3886
H7 0.1444 0.5718 0.7269
H8 0.5957 0.7023 0.9956
H9 0.4387 0.5694 0.2809
H10 0.6018 0.5319 0.2345
H11 0.3982 0.4681 0.7655
H12 0.0981 0.6517 0.6114
C1 0.0882 0.3331 0.9178
C2 0.1144 0.2654 0.5491
C3 0.8426 0.8633 0.3639
C4 0.9169 0.1831 0.9507
C5 0.8856 0.7346 0.4509
C6 0.0831 0.8169 0.0493
C7 0.1574 0.1367 0.6361
C8 0.9118 0.6669 0.0822
K1 0.5859 0.0295 0.1696
K2 0.5451 0.2730 0.4775
K3 0.1463 0.2700 0.2294
K4 0.8537 0.7300 0.7706
K5 0.4549 0.7270 0.5225
K6 0.4141 0.9705 0.8304
V1 0.1666 0.8065 0.2960
V2 0.8334 0.1935 0.7040